1.
The following is a DFT calculation (PBE) of Li3InGe after structural relaxation.

## Properties
Its energy of formation from the pure elements is 1.96 eV/f.u. Its density of states at the Fermi level is 0.415 states/eV per atom. Its crystal system is cubic.

Unit cell a=4.970 b=4.970 c=4.970 alpha=90.00 beta=90.00 gamma=90.00
Element x y z (fractional)
1 Ge 0.500 0.500 0.500
2 Li 0.000 0.500 0.000
3 Li 0.000 0.000 0.500
4 Li 0.500 0.000 0.000
5 In 0.000 0.000 0.000

=====

2.
The following is a DFT calculation (PBE) of LiInGe after structural relaxation.

## Properties
Its energy of formation from the pure elements is 0.11 eV/f.u. Its density of states at the Fermi level is 0.605 states/eV per atom. Its crystal system is tetragonal.

Unit cell a=10.913 b=10.913 c=8.054 alpha=47.35 beta=47.35 gamma=90.00
Element x y z (fractional)
1 Ge 0.380 0.000 0.000
2 Ge 0.620 0.000 0.000
3 Ge 0.000 0.380 0.000
4 Ge 0.000 0.620 0.000
5 Li 0.738 0.500 0.000
6 Li 0.262 0.500 0.000
7 Li 0.500 0.738 0.000
8 Li 0.500 0.262 0.000
9 In 0.820 0.820 0.000
10 In 0.180 0.180 0.000
11 In 0.180 0.820 0.000
12 In 0.820 0.180 0.000

=====

3.
The following is a DFT calculation (PBE) of Li6In3Ge after structural relaxation.

## Properties
Its energy of formation from the pure elements is -2.83 eV/f.u. Its density of states at the Fermi level is 0.324 states/eV per atom. Its crystal system is monoclinic.

Unit cell a=4.698 b=7.987 c=10.595 alpha=112.53 beta=90.00 gamma=90.00
Element x y z (fractional)
1 Li 0.250 0.444 0.126
2 Li 0.750 0.556 0.874
3 Li 0.250 0.141 0.242
4 Li 0.750 0.859 0.758
5 Li 0.250 0.637 0.726
6 Li 0.750 0.363 0.274
7 Li 0.250 0.202 0.522
8 Li 0.750 0.798 0.478
9 Li 0.250 0.864 0.346
10 Li 0.750 0.136 0.654
11 Li 0.250 0.025 0.914
12 Li 0.750 0.975 0.086
13 In 0.250 0.548 0.424
14 In 0.750 0.452 0.576
15 In 0.250 0.328 0.818
16 In 0.750 0.672 0.182
17 In 0.250 0.746 0.021
18 In 0.750 0.254 0.979
19 Ge 0.250 0.921 0.636
20 Ge 0.750 0.079 0.364

=====

4.
The following is a DFT calculation (PBE) of LiInGe after structural relaxation.

## Properties
Its energy of formation from the pure elements is -0.23 eV/f.u. Its density of states at the Fermi level is 0.291 states/eV per atom. Its crystal system is monoclinic.

Unit cell a=5.824 b=5.292 c=5.292 alpha=55.90 beta=102.17 gamma=77.83
Element x y z (fractional)
1 Ge 0.750 0.210 0.710
2 Ge 0.250 0.790 0.290
3 Li 0.750 0.859 0.359
4 Li 0.250 0.141 0.641
5 In 0.750 0.538 0.038
6 In 0.250 0.462 0.962

=====

5.
The following is a DFT calculation (PBE) of LiInGe after structural relaxation.

## Properties
Its energy of formation from the pure elements is -0.45 eV/f.u. Its density of states at the Fermi level is 0.141 states/eV per atom. Its crystal system is orthorhombic.

Unit cell a=7.530 b=7.530 c=4.124 alpha=90.00 beta=90.00 gamma=148.32
Element x y z (fractional)
1 Ge 0.943 0.057 0.250
2 Ge 0.057 0.943 0.750
3 Li 0.571 0.429 0.250
4 Li 0.429 0.571 0.750
5 In 0.285 0.715 0.250
6 In 0.715 0.285 0.750

=====

6.
The following is a DFT calculation (PBE) of LiInGe3 after structural relaxation.

## Properties
Its energy of formation from the pure elements is 1.81 eV/f.u. Its density of states at the Fermi level is 0.361 states/eV per atom. Its crystal system is cubic.

Unit cell a=4.723 b=4.723 c=4.723 alpha=90.00 beta=90.00 gamma=90.00
Element x y z (fractional)
1 Ge 0.000 0.500 0.000
2 Ge 0.000 0.000 0.500
3 Ge 0.500 0.000 0.000
4 Li 0.000 0.000 0.000
5 In 0.500 0.500 0.500

=====

7.
The following is a DFT calculation (PBE) of Li14InGe after structural relaxation.

## Properties
Its energy of formation from the pure elements is -2.16 eV/f.u. Its density of states at the Fermi level is 0.352 states/eV per atom. Its crystal system is tetragonal.

Unit cell a=6.749 b=6.749 c=6.408 alpha=90.00 beta=90.00 gamma=90.00
Element x y z (fractional)
1 Li 0.875 0.875 0.000
2 Li 0.375 0.375 0.000
3 Li 0.875 0.375 0.500
4 Li 0.875 0.375 0.000
5 Li 0.375 0.875 0.500
6 Li 0.375 0.875 0.000
7 Li 0.613 0.137 0.273
8 Li 0.613 0.137 0.727
9 Li 0.137 0.613 0.273
10 Li 0.137 0.613 0.727
11 Li 0.613 0.613 0.273
12 Li 0.613 0.613 0.727
13 Li 0.137 0.137 0.273
14 Li 0.137 0.137 0.727
15 In 0.875 0.875 0.500
16 Ge 0.375 0.375 0.500

=====

8.
The following is a DFT calculation (PBE) of LiInGe after structural relaxation.

## Properties
Its energy of formation from the pure elements is -0.29 eV/f.u. Its density of states at the Fermi level is 0.229 states/eV per atom. Its crystal system is triclinic.

Unit cell a=3.208 b=5.978 c=6.696 alpha=88.68 beta=91.30 gamma=72.17
Element x y z (fractional)
1 Li 0.528 0.821 0.253
2 Li 0.680 0.536 0.644
3 In 0.848 0.190 0.998
4 In 0.930 0.001 0.579
5 Ge 0.246 0.404 0.313
6 Ge 0.110 0.664 0.960

=====

9.
The following is a DFT calculation (PBE) of Li2InGe after structural relaxation.

## Properties
Its energy of formation from the pure elements is 0.41 eV/f.u. Its density of states at the Fermi level is 0.330 states/eV per atom. Its crystal system is orthorhombic.

Unit cell a=6.113 b=6.113 c=6.113 alpha=59.09 beta=148.64 gamma=131.28
Element x y z (fractional)
1 Li 0.000 0.238 0.238
2 Li 0.000 0.762 0.762
3 In 0.000 0.500 0.500
4 Ge 0.000 0.000 0.000

=====

10.
The following is a DFT calculation (PBE) of LiInGe after structural relaxation.

## Properties
Its energy of formation from the pure elements is -0.15 eV/f.u. Its density of states at the Fermi level is 0.337 states/eV per atom. Its crystal system is orthorhombic.

Unit cell a=4.510 b=4.510 c=6.752 alpha=90.00 beta=90.00 gamma=119.82
Element x y z (fractional)
1 Ge 0.333 0.667 0.250
2 Ge 0.667 0.333 0.750
3 Li 0.667 0.333 0.250
4 Li 0.333 0.667 0.750
5 In 0.000 0.000 0.000
6 In 0.000 0.000 0.500

=====

11.
The following is a DFT calculation (PBE) of LiInGe2 after structural relaxation.

## Properties
Its energy of formation from the pure elements is 0.53 eV/f.u. Its density of states at the Fermi level is 0.565 states/eV per atom. Its crystal system is tetragonal.

Unit cell a=7.741 b=7.741 c=6.147 alpha=50.98 beta=50.98 gamma=90.00
Element x y z (fractional)
1 Ge 0.624 0.125 0.250
2 Ge 0.126 0.625 0.250
3 Ge 0.375 0.376 0.750
4 Ge 0.875 0.874 0.750
5 Li 0.500 0.500 0.000
6 Li 0.250 0.750 0.500
7 In 0.000 0.000 0.000
8 In 0.750 0.250 0.500

=====

12.
The following is a DFT calculation (PBE) of LiInGe2 after structural relaxation.

## Properties
Its energy of formation from the pure elements is 0.21 eV/f.u. Its density of states at the Fermi level is 0.291 states/eV per atom. Its crystal system is trigonal.

Unit cell a=4.464 b=4.464 c=5.396 alpha=65.57 beta=65.57 gamma=60.00
Element x y z (fractional)
1 Ge 0.766 0.766 0.701
2 Ge 0.234 0.234 0.299
3 Li 0.500 0.500 0.500
4 In 0.000 0.000 0.000

=====

Number 1: magnetic moment 0.00 μB per formula unit. Number 2: magnetic moment 0.00 μB per formula unit. Number 3: magnetic moment 0.00 μB per formula unit. Number 4: magnetic moment 0.00 μB per formula unit. Number 5: magnetic moment 0.00 μB per formula unit. Number 6: magnetic moment 0.00 μB per formula unit. Number 7: magnetic moment 0.00 μB per formula unit. Number 8: magnetic moment 0.00 μB per formula unit. Number 9: magnetic moment 0.01 μB per formula unit. Number 10: magnetic moment 0.00 μB per formula unit. Number 11: magnetic moment 0.00 μB per formula unit. Number 12: magnetic moment 0.00 μB per formula unit.